LaErCuPt | PBE | relaxed Values from VASP.

Output
The space-group type is Amm2, No. 38. The total DFT energy (no corrections) comes out at -5.644 eV/atom. The calculation puts the energy above the most stable polymorph in this dataset at 0.000 eV per atom. The density of states at the Fermi level comes out at 3.3 states/eV per cell. Its formation energy is -0.74 eV per atom.

Geometry as Quantum ESPRESSO input:
```
&SYSTEM
  ibrav = 0, nat = 4, ntyp = 4
/
ATOMIC_SPECIES
Pt 195.08 Pt.upf
La 138.91 La.upf
Er 167.26 Er.upf
Cu 63.55 Cu.upf
CELL_PARAMETERS angstrom
-2.9749 -2.0538 1.3364
0.7539 -3.1403 -3.1477
4.7974 -1.5674 2.7129
ATOMIC_POSITIONS crystal
Pt 0.4191 0.0000 0.8381
La 0.1410 0.0000 0.2820
Er 0.8654 0.5000 0.7308
Cu 0.5745 0.5000 0.1491
```